Version one
Entry from the Alexandria database: crystalline Hg3RhF at its relaxed geometry (PBE-GGA).

POSCAR file:
```
Hg3RhF
1.0
-3.826 -1.891 -2.002
2.742 -2.293 -3.074
0.260 -3.659 2.961
F Rh Hg
1 1 3
Direct
0.000 0.000 0.000
0.500 0.500 0.500
0.500 0.000 0.000
0.000 0.000 0.500
0.000 0.500 0.000
```

Calculated values
- Space group: Pm-3m, No. 221
- Crystal system: cubic
- ρ: 11.47 g/cm3
- Total magnetic moment: 0.0 μB per cell

Version two
Entry from the Alexandria database: crystalline Hg3RhF at its relaxed geometry (PBE-GGA).

POSCAR file:
```
Hg3RhF
1.0
5.228 0.000 0.000
0.000 5.228 0.000
0.000 0.000 5.228
F Hg Rh
1 3 1
Direct
0.500 0.500 0.500
0.500 0.000 0.000
0.000 0.000 0.500
0.000 0.500 0.000
0.000 0.000 0.000
```

Calculated values
- Space group: Pm-3m, No. 221
- Crystal system: cubic
- ρ: 8.41 g/cm3
- Total magnetic moment: 0.0 μB per cell

Which structure wins on stability? version two wins.

Version one
Entry from the Alexandria database: crystalline HgRhF4 at its relaxed geometry (PBE-GGA).

POSCAR file:
```
HgRhF4
1.0
2.963 0.000 0.891
1.116 6.305 1.660
0.102 -0.710 5.035
F Hg Rh
4 1 1
Direct
0.076 0.705 0.143
0.658 0.935 0.749
0.342 0.065 0.251
0.924 0.295 0.857
0.500 0.500 0.500
0.000 0.000 0.000
```

Calculated values
- Space group: C2/m, No. 12
- Crystal system: monoclinic
- ρ: 6.55 g/cm3
- Total magnetic moment: 0.0 μB per cell

Version two
Entry from the Alexandria database: crystalline HgRhF4 at its relaxed geometry (PBE-GGA).

POSCAR file:
```
HgRhF4
1.0
-5.250 3.131 -1.619
-3.372 0.840 -5.283
-4.089 -5.021 1.045
Hg F Rh
2 8 2
Direct
0.500 0.000 0.500
0.000 0.500 0.000
0.078 0.578 0.326
0.702 0.202 0.463
0.578 0.078 0.826
0.202 0.702 0.963
0.798 0.298 0.037
0.922 0.422 0.674
0.298 0.798 0.537
0.422 0.922 0.174
0.250 0.750 0.250
0.750 0.250 0.750
```

Calculated values
- Space group: C2/m, No. 12
- Crystal system: monoclinic
- ρ: 6.99 g/cm3
- Total magnetic moment: 2.3 μB per cell

Which structure wins on stability? version one wins.

Version one
Entry from the Alexandria database: crystalline HgRuF3 at its relaxed geometry (PBE-GGA).

POSCAR file:
```
HgRuF3
1.0
-1.030 3.894 -1.364
-2.858 -1.688 -2.658
-2.975 0.273 3.026
Hg F Ru
1 3 1
Direct
0.500 0.500 0.500
0.000 0.500 0.000
0.500 0.000 0.000
0.000 0.000 0.500
0.000 0.000 0.000
```

Calculated values
- Space group: Pm-3m, No. 221
- Crystal system: cubic
- ρ: 7.74 g/cm3
- Total magnetic moment: 2.4 μB per cell

Version two
Entry from the Alexandria database: crystalline HgRuF3 at its relaxed geometry (PBE-GGA).

POSCAR file:
```
HgRuF3
1.0
-0.773 -3.408 2.909
4.204 0.469 1.667
-1.550 2.973 3.071
F Hg Ru
3 1 1
Direct
0.000 0.500 0.000
0.000 0.000 0.500
0.500 0.000 0.000
0.000 0.000 0.000
0.500 0.500 0.500
```

Calculated values
- Space group: Pm-3m, No. 221
- Crystal system: cubic
- ρ: 6.33 g/cm3
- Total magnetic moment: 3.2 μB per cell

Which structure wins on stability? version one wins.